(1)
Computed, not measured: an optimized crystal structure of BaTm2As2O8 at the PBE-GGA level of DFT.

Summary:
- energy (eV/cell) = -89.81
- space group = R-3, No. 148

```
13
Lattice="-5.3475 -2.0672 4.2782 -0.6060 -5.0335 5.0467 -1.0107 0.2182 7.0784" Properties=species:S:1:pos:R:3 pbc="T T T"
O -4.6572 -3.5995 6.3915
O -3.9717 -5.5433 8.3566
O -2.9925 -1.3392 8.0467
O -5.3366 -2.6527 8.9900
O -2.3070 -3.2830 10.0118
O -2.3827 -2.3547 5.6122
O -1.6276 -4.2298 7.4133
O -4.5815 -4.5278 10.7912
As -3.9567 -3.9103 9.3195
As -3.0075 -2.9722 7.0838
Tm -1.3663 -1.3503 3.2181
Tm -5.5979 -5.5322 13.1852
Ba 0.0000 0.0000 0.0000
```

---

(2)
Computed, not measured: an optimized crystal structure of CuNiBPt at the PBE-GGA level of DFT.

Summary:
- space group = F-43m, No. 216
- E above lowest polymorph (eV per atom) = 0.000

```
4
Lattice="0.0000 2.8152 2.8152 2.8152 0.0000 2.8152 2.8152 2.8152 0.0000" Properties=species:S:1:pos:R:3 pbc="T T T"
Cu 2.8152 2.8152 2.8152
Pt 1.4076 1.4076 1.4076
Ni 4.2228 4.2228 4.2228
B 0.0000 0.0000 0.0000
```

---

(3)
Computed, not measured: an optimized crystal structure of RbLaSmSe3 at the PBE-GGA level of DFT.

Summary:
- energy (eV/cell) = -60.50
- space group = Cmcm, No. 63

```
12
Lattice="2.5404 -7.9715 0.0000 2.5404 7.9715 0.0000 0.0000 0.0000 10.4871" Properties=species:S:1:pos:R:3 pbc="T T T"
Sm 2.5404 0.0000 0.0000
Sm 2.5404 0.0000 5.2435
Se 2.5404 1.4568 2.6218
Se 2.5404 6.1949 4.8910
Se 2.5404 -6.1949 10.1345
Se 2.5404 -6.1949 5.5961
Se 2.5404 6.1949 0.3525
Se 2.5404 -1.4568 7.8653
Rb 2.5404 -3.7873 2.6218
Rb 2.5404 3.7873 7.8653
La 2.5404 7.8281 7.8653
La 2.5404 -7.8281 2.6218
```

---

(4)
Computed, not measured: an optimized crystal structure of Hf4SiNiN2 at the PBE-GGA level of DFT.

Summary:
- energy (eV/cell) = -75.86
- space group = P-6m2, No. 187

```
8
Lattice="3.1899 0.0000 0.0000 -1.5949 2.7625 0.0000 0.0000 0.0000 13.2255" Properties=species:S:1:pos:R:3 pbc="T T T"
Hf 1.5950 0.9208 4.6659
Hf 0.0000 1.8417 2.0652
Hf 1.5950 0.9208 8.5596
Hf 0.0000 1.8417 11.1603
Si 1.5950 0.9208 0.0000
Ni 0.0000 1.8417 6.6127
N 0.0000 0.0000 3.3615
N 0.0000 0.0000 9.8639
```

---

Number 1: spin magnetization 0.00 μB/cell, density 7.114 g cm⁻³. Number 2: spin magnetization 0.00 μB/cell, density 12.211 g cm⁻³. Number 3: spin magnetization 0.33 μB/cell, density 4.782 g cm⁻³. Number 4: spin magnetization 0.00 μB/cell, density 11.808 g cm⁻³.